# BaCoH2F8 | Alexandria | GGA+U | relaxed
data_BaCoH2F8
_chemical_formula_sum 'Ba1 Co1 H2 F8'
_cell_length_a 5.015
_cell_length_b 5.109
_cell_length_c 6.911
_cell_angle_alpha 105.53
_cell_angle_beta 94.39
_cell_angle_gamma 108.92
_space_group_name_H-M_alt 'P -1'
_space_group_IT_number 2
_space_group_name_Hall '-P 1'
loop_
_atom_site_label
_atom_site_type_symbol
_atom_site_fract_x
_atom_site_fract_y
_atom_site_fract_z
Ba1 Ba 0.000 0.000 0.000
Co1 Co 0.000 0.000 0.500
H1 H 0.360 0.486 0.790
F1 F 0.098 0.296 0.397
F2 F 0.178 0.828 0.319
F3 F 0.317 0.196 0.706
F4 F 0.404 0.691 0.883
# Crystal system: triclinic
# E: -4.5441 eV per atom